CsK6Rb2Na | PBE | relaxed

Results
- ΔE_f (meV/atom) = 33
- crystal system = orthorhombic
- E_tot (eV/atom) = -1.04
- space-group type = Pnnm (58)

Cell: 14.0435 14.9699 7.4584 Å, 90.00 90.00 90.00°
With the nearest neighbours (Å) after each atom.
Fractional positions:
Cs 0.0000 0.0000 0.0000  4 K 4.69-5.05, 4 Rb 4.94
Cs 0.5000 0.5000 0.5000  4 K 4.69-5.05, 4 Rb 4.94
K 0.0295 0.3360 0.0000  2 Na 4.48, 6 K 4.53-4.98, 2 Rb 4.62-4.65
K 0.1372 0.7355 0.5000  1 Na 4.02
K 0.2126 0.3399 0.5000  1 Na 3.83
K 0.2874 0.8399 0.0000  1 Na 3.83
K 0.3628 0.2355 0.0000  1 Na 4.02
K 0.4705 0.8360 0.5000  2 Na 4.48, 6 K 4.53-4.98, 2 Rb 4.62-4.65
K 0.5295 0.1640 0.5000  2 Na 4.48, 6 K 4.53-4.98, 2 Rb 4.62-4.65
K 0.6372 0.7645 0.0000  1 Na 4.02
K 0.7126 0.1601 0.0000  1 Na 3.83
K 0.7874 0.6601 0.5000  1 Na 3.83
K 0.8628 0.2645 0.5000  1 Na 4.02
K 0.9705 0.6640 0.0000  2 Na 4.48, 6 K 4.53-4.98, 2 Rb 4.62-4.65
Rb 0.2259 0.0451 0.5000  6 K 4.42-4.91, 2 Cs 4.94
Rb 0.2741 0.5451 0.0000  6 K 4.42-4.91, 2 Cs 4.94
Rb 0.7259 0.4549 0.0000  6 K 4.42-4.91, 2 Cs 4.94
Rb 0.7741 0.9549 0.5000  6 K 4.42-4.91, 2 Cs 4.94
Na 0.0000 0.5000 0.5000  4 K 3.83-4.02
Na 0.5000 0.0000 0.0000  4 K 3.83-4.02